[1]
A relaxed Ag5PtAu2 crystal, computed with PBE.

Output
Its space-group type is P4/mmm. Its formation energy is 5.24 eV/f.u.

abc: 4.9173 6.2432 6.2431
angles: 90.00 90.00 90.00
Fractional positions:
Ag 0.0000 0.7100 0.7100
Ag 0.0000 0.2900 0.7100
Ag 0.0000 0.7100 0.2900
Ag 0.5000 0.0000 0.0000
Ag 0.0000 0.2900 0.2900
Pt 0.0000 0.0000 0.0000
Au 0.5000 0.5000 0.0000
Au 0.5000 0.0000 0.5000

***

[2]
A relaxed MnSbW3 crystal, computed with PBE.

Output
Its space-group type is Pm-3m. The formation energy (no corrections) comes out at 1.34 eV per atom.

abc: 4.5339 4.5339 4.5339
angles: 90.00 90.00 90.00
Fractional positions:
Sb 0.5000 0.5000 0.5000
Mn 0.0000 0.0000 0.0000
W 0.0000 0.5000 0.0000
W 0.0000 0.0000 0.5000
W 0.5000 0.0000 0.0000

***

[3]
A relaxed Sr2CaMg12Hg3 crystal, computed with PBE.

Output
Its space-group type is R-3m. Its formation energy is 2.33 eV/f.u.

abc: 9.4554 9.4554 9.4554
angles: 57.31 57.31 57.31
Fractional positions:
Sr 0.5847 0.5847 0.5847
Sr 0.4153 0.4153 0.4153
Ca 0.0000 0.0000 0.0000
Mg 0.2293 0.2293 0.8614
Mg 0.8299 0.8299 0.4597
Mg 0.4597 0.8299 0.8299
Mg 0.8614 0.2293 0.2293
Mg 0.8299 0.4597 0.8299
Mg 0.2293 0.8614 0.2293
Mg 0.7707 0.7707 0.1386
Mg 0.1701 0.1701 0.5403
Mg 0.5403 0.1701 0.1701
Mg 0.1386 0.7707 0.7707
Mg 0.1701 0.5403 0.1701
Mg 0.7707 0.1386 0.7707
Hg 0.5000 0.0000 0.0000
Hg 0.0000 0.5000 0.0000
Hg 0.0000 0.0000 0.5000

***

[4]
A relaxed CaIN2 crystal, computed with PBE.

Output
Its space-group type is Fm-3m. The formation energy (no corrections) comes out at 1.17 eV per atom.

abc: 4.4110 4.4110 4.4110
angles: 60.00 60.00 60.00
Fractional positions:
I 0.5000 0.5000 0.5000
Ca 0.0000 0.0000 0.0000
N 0.2500 0.2500 0.2500
N 0.7500 0.7500 0.7500

***

[5]
A relaxed KY2F crystal, computed with PBE.

Output
Its space-group type is I-42d. The formation energy (no corrections) comes out at -0.77 eV per atom.

abc: 7.5040 7.5040 7.2218
angles: 58.70 58.70 90.00
Fractional positions:
Y 0.4518 0.1250 0.2500
Y 0.2982 0.6250 0.2500
Y 0.3750 0.5482 0.7500
Y 0.8750 0.7018 0.7500
K 0.0000 0.0000 0.0000
K 0.7500 0.2500 0.5000
F 0.5000 0.5000 0.0000
F 0.2500 0.7500 0.5000

***

[6]
A relaxed TaNbBi2Au crystal, computed with PBE.

Output
Its space-group type is P4/mmm. Its formation energy is 7.84 eV/f.u.

abc: 5.4001 5.1127 5.4001
angles: 90.00 90.00 90.00
Fractional positions:
Nb 0.5000 0.5000 0.5000
Au 0.0000 0.0000 0.0000
Bi 0.0000 0.0000 0.5000
Bi 0.5000 0.0000 0.0000
Ta 0.0000 0.5000 0.0000

***

[7]
A relaxed Y2Mg2Pd crystal, computed with PBE.

Output
Its space-group type is P4/mbm. Its formation energy is -1.01 eV/f.u.

abc: 6.9417 6.9417 5.1097
angles: 90.00 90.00 90.00
Fractional positions:
Y 0.1712 0.6712 0.5000
Y 0.6712 0.8288 0.5000
Y 0.8288 0.3288 0.5000
Y 0.3288 0.1712 0.5000
Mg 0.3549 0.8549 0.0000
Mg 0.8549 0.6451 0.0000
Mg 0.6451 0.1451 0.0000
Mg 0.1451 0.3549 0.0000
Pd 0.0000 0.0000 0.0000
Pd 0.5000 0.5000 0.0000

***

[8]
A relaxed KBaPb2 crystal, computed with PBE.

Output
Its space-group type is Amm2. Its formation energy is -1.46 eV/f.u.

abc: 4.8547 5.3220 7.0636
angles: 67.91 90.00 90.00
Fractional positions:
Pb 0.0000 0.1987 0.9775
Pb 0.5000 0.0498 0.2757
K 0.5000 0.7648 0.8449
Ba 0.0000 0.4867 0.4018

***

[9]
A relaxed Re2RuPt crystal, computed with PBE.

Output
Its space-group type is Cm. Its formation energy is -0.07 eV/f.u.

abc: 4.7742 4.7742 4.8110
angles: 80.60 80.60 33.27
Fractional positions:
Pt 0.7478 0.7478 0.7537
Re 0.9960 0.9960 0.0068
Re 0.2489 0.2489 0.2585
Ru 0.5073 0.5073 0.4810

***

[10]
A relaxed Pm5Te5Au crystal, computed with PBE.

Output
Its space-group type is C2/m. The formation energy (no corrections) comes out at -1.30 eV per atom.

abc: 6.3094 7.6872 8.8279
angles: 106.95 90.00 114.23
Fractional positions:
Pm 0.8390 0.6780 0.1633
Pm 0.8387 0.6773 0.6715
Pm 0.5000 0.0000 0.0000
Pm 0.1613 0.3227 0.3285
Pm 0.1610 0.3220 0.8367
Te 0.6720 0.3441 0.3354
Te 0.6641 0.3283 0.8269
Te 0.0000 0.0000 0.5000
Te 0.3359 0.6717 0.1731
Te 0.3280 0.6559 0.6646
Au 0.0000 0.0000 0.0000

***

[11]
A relaxed PrCdH crystal, computed with PBE.

Output
Its space-group type is I4mm. For the electronic total energy, the calculation gives -3.12 eV/atom.

abc: 3.3063 3.3063 6.3844
angles: 105.01 105.01 90.00
Fractional positions:
Pr 0.7237 0.7237 0.4474
H 0.2684 0.2684 0.5369
Cd 0.0079 0.0079 0.0157

***

[12]
A relaxed CsK2NiTe crystal, computed with PBE.

Output
Its space-group type is P4/mmm. The formation energy (no corrections) comes out at -0.09 eV per atom.

abc: 6.9278 4.8475 6.9278
angles: 90.00 90.00 90.00
Fractional positions:
Cs 0.5000 0.5000 0.5000
Ni 0.0000 0.5000 0.0000
K 0.0000 0.0000 0.5000
K 0.5000 0.0000 0.0000
Te 0.0000 0.0000 0.0000

***

Number 1: volume 24.0 Å³ per atom. Number 2: volume 18.6 Å³ per atom. Number 3: volume 31.2 Å³ per atom. Number 4: volume 15.2 Å³ per atom. Number 5: volume 34.5 Å³ per atom. Number 6: volume 29.8 Å³ per atom. Number 7: volume 24.6 Å³ per atom. Number 8: volume 42.3 Å³ per atom. Number 9: volume 14.8 Å³ per atom. Number 10: volume 33.6 Å³ per atom. Number 11: volume 21.6 Å³ per atom. Number 12: volume 46.5 Å³ per atom.